No. 1
Here is crystalline Cs2TmNpS4 at its relaxed geometry from Alexandria via LeMat-Bulk. Energies are from PBE-GGA.

Output
Raw formation energy: -1.570 eV per atom

Unit cell a=7.1313 b=4.1065 c=8.3918 alpha=90.00 beta=106.45 gamma=90.00
Space group P2/m (No. 10)
Unique sites:
Cs 0.0000 0.0000 0.0000
Cs 0.5000 0.5000 0.0000
Tm 0.0000 0.5000 0.5000
Np 0.5000 0.0000 0.5000
S 0.2204 0.0000 0.6803
S 0.2686 0.5000 0.3204

---

No. 2
Here is crystalline Cs4Tm3NpS8 at its relaxed geometry from Alexandria via LeMat-Bulk. Energies are from PBE-GGA.

Output
Raw formation energy: -1.692 eV per atom

Unit cell a=8.1733 b=8.1733 c=24.1507 alpha=90.00 beta=90.00 gamma=120.00
Space group R-3m (No. 166, hexagonal axes)
Unique sites:
Cs 0.0000 0.0000 0.0000
Cs 0.0000 0.5000 0.0000
Tm 0.0000 0.5000 0.5000
Np 0.0000 0.0000 0.5000
S 0.0000 0.0000 0.2264
S 0.0059 0.5029 0.7733

---

No. 3
Here is crystalline Cs2NpUS4 at its relaxed geometry from Alexandria via LeMat-Bulk. Energies are from PBE-GGA.

Output
Raw formation energy: -1.350 eV per atom

Unit cell a=7.1260 b=4.1133 c=8.4329 alpha=90.00 beta=106.33 gamma=90.00
Space group P2/m (No. 10)
Unique sites:
Cs 0.0000 0.0000 0.0000
Cs 0.5000 0.5000 0.0000
Np 0.0000 0.5000 0.5000
U 0.5000 0.0000 0.5000
S 0.2295 0.0000 0.6806
S 0.2755 0.5000 0.3188

---

No. 4
Here is crystalline CsNp2US8 at its relaxed geometry from Alexandria via LeMat-Bulk. Energies are from PBE-GGA.

Output
Raw formation energy: -0.987 eV per atom

Unit cell a=6.1870 b=6.4929 c=8.4859 alpha=89.93 beta=89.87 gamma=89.49
Space group P-1 (No. 2)
Unique sites:
Cs 0.0000 0.0000 0.0000
Np 0.4999 0.5001 0.2523
U 0.0000 0.0000 0.5000
S 0.2540 0.8299 0.6931
S 0.2553 0.8314 0.3064
S 0.2667 0.4341 0.0004
S 0.2768 0.3274 0.5004

---

No. 5
Here is crystalline Cs3NpU2S9 at its relaxed geometry from Alexandria via LeMat-Bulk. Energies are from PBE-GGA.

Output
Raw formation energy: -1.317 eV per atom

Unit cell a=7.4213 b=7.4213 c=9.0904 alpha=90.00 beta=90.00 gamma=120.00
Space group P-3m1 (No. 164)
Unique sites:
Cs 0.0000 0.0000 0.0000
Cs 0.3333 0.6667 0.6660
Np 0.0000 0.0000 0.5000
U 0.3333 0.6667 0.1674
S 0.0000 0.5000 0.0000
S 0.1693 0.3386 0.3300

---

No. 6
Here is crystalline CsNpUS6 at its relaxed geometry from Alexandria via LeMat-Bulk. Energies are from PBE-GGA.

Output
Raw formation energy: -1.077 eV per atom

Unit cell a=9.3790 b=9.5771 c=13.4070 alpha=90.00 beta=90.00 gamma=90.00
Space group Imma (No. 74)
Unique sites:
Cs 0.0000 0.2500 0.1158
Np 0.2500 0.2500 0.7500
U 0.0000 0.0000 0.5000
S 0.0000 0.2500 0.4304
S 0.0000 0.2500 0.8290
S 0.1973 0.0477 0.6253

---

No. 7
Here is crystalline Cs4NpU3S12 at its relaxed geometry from Alexandria via LeMat-Bulk. Energies are from PBE-GGA.

Output
Raw formation energy: -1.328 eV per atom

Unit cell a=10.5077 b=10.5077 c=10.5077 alpha=90.00 beta=90.00 gamma=90.00
Space group Im-3m (No. 229)
Unique sites:
Cs 0.2500 0.2500 0.2500
Np 0.0000 0.0000 0.0000
U 0.0000 0.0000 0.5000
S 0.0000 0.0000 0.2551
S 0.0000 0.2500 0.5000

---

No. 8
Here is crystalline Cs2Np2VS6 at its relaxed geometry from Alexandria via LeMat-Bulk. Energies are from PBE-GGA.

Output
Raw formation energy: -1.256 eV per atom

Unit cell a=6.7404 b=11.5624 c=8.5476 alpha=90.00 beta=105.45 gamma=90.00
Space group C2/m (No. 12)
Unique sites:
Cs 0.0000 0.1685 0.0000
Np 0.0000 0.3333 0.5000
V 0.0000 0.0000 0.5000
S 0.2163 0.1566 0.6728
S 0.2469 0.5000 0.6712

---

No. 9
Here is crystalline Cs2NpVS6 at its relaxed geometry from Alexandria via LeMat-Bulk. Energies are from PBE-GGA.

Output
Raw formation energy: -0.961 eV per atom

Unit cell a=10.0073 b=10.0073 c=10.0073 alpha=90.00 beta=90.00 gamma=90.00
Space group Fm-3m (No. 225)
Unique sites:
Cs 0.2500 0.2500 0.2500
Np 0.0000 0.0000 0.0000
V 0.0000 0.0000 0.5000
S 0.0000 0.0000 0.2587

---

No. 10
Here is crystalline CsNpVS4 at its relaxed geometry from Alexandria via LeMat-Bulk. Energies are from PBE-GGA.

Output
Raw formation energy: -1.185 eV per atom

Unit cell a=6.4846 b=6.6352 c=9.5603 alpha=90.00 beta=108.66 gamma=90.00
Space group P2_1/m (No. 11)
Unique sites:
Cs 0.2312 0.2500 0.4383
Np 0.2765 0.2500 0.9527
V 0.2786 0.7500 0.1582
S 0.0627 0.7500 0.9305
S 0.0725 0.7500 0.3038
S 0.4894 0.5074 0.8090

---

No. 11
Here is crystalline Cs2YNpS4 at its relaxed geometry from Alexandria via LeMat-Bulk. Energies are from PBE-GGA.

Output
Raw formation energy: -1.579 eV per atom

Unit cell a=7.1792 b=4.1394 c=8.4052 alpha=90.00 beta=106.59 gamma=90.00
Space group P2/m (No. 10)
Unique sites:
Cs 0.0000 0.0000 0.0000
Cs 0.5000 0.5000 0.0000
Y 0.0000 0.5000 0.5000
Np 0.5000 0.0000 0.5000
S 0.2245 0.0000 0.6822
S 0.2723 0.5000 0.3198

---

No. 12
Here is crystalline Cs2Y2NpS6 at its relaxed geometry from Alexandria via LeMat-Bulk. Energies are from PBE-GGA.

Output
Raw formation energy: -1.719 eV per atom

Unit cell a=7.0089 b=12.1222 c=8.5931 alpha=90.00 beta=106.23 gamma=90.00
Space group C2/m (No. 12)
Unique sites:
Cs 0.0000 0.1690 0.0000
Y 0.0000 0.3335 0.5000
Np 0.0000 0.0000 0.5000
S 0.2235 0.1641 0.6766
S 0.2344 0.5000 0.6763

---

No. 13
Here is crystalline Cs4Y3NpS8 at its relaxed geometry from Alexandria via LeMat-Bulk. Energies are from PBE-GGA.

Output
Raw formation energy: -1.703 eV per atom

Unit cell a=8.2595 b=8.2595 c=24.1925 alpha=90.00 beta=90.00 gamma=120.00
Space group R-3m (No. 166, hexagonal axes)
Unique sites:
Cs 0.0000 0.0000 0.0000
Cs 0.0000 0.5000 0.0000
Y 0.0000 0.5000 0.5000
Np 0.0000 0.0000 0.5000
S 0.0000 0.0000 0.2273
S 0.0022 0.5011 0.7727

---

No. 14
Here is crystalline Cs2YNp2S6 at its relaxed geometry from Alexandria via LeMat-Bulk. Energies are from PBE-GGA.

Output
Raw formation energy: -1.564 eV per atom

Unit cell a=7.0132 b=12.1635 c=8.5502 alpha=90.00 beta=105.58 gamma=90.00
Space group C2/m (No. 12)
Unique sites:
Cs 0.0000 0.1654 0.0000
Y 0.0000 0.0000 0.5000
Np 0.0000 0.3339 0.5000
S 0.2216 0.5000 0.6756
S 0.2254 0.1694 0.6752

---

No. 15
Here is crystalline Cs2NpZn2S6 at its relaxed geometry from Alexandria via LeMat-Bulk. Energies are from PBE-GGA.

Output
Raw formation energy: -0.906 eV per atom

Unit cell a=7.3830 b=7.3830 c=21.3752 alpha=90.00 beta=90.00 gamma=120.00
Space group R-3m (No. 166, hexagonal axes)
Unique sites:
Cs 0.0000 0.0000 0.2197
Np 0.0000 0.0000 0.0000
Zn 0.0000 0.0000 0.3989
S 0.0168 0.5084 0.7400

---

No. 16
Here is crystalline CsNpZnS4 at its relaxed geometry from Alexandria via LeMat-Bulk. Energies are from PBE-GGA.

Output
Raw formation energy: -1.018 eV per atom

Unit cell a=6.3861 b=6.8158 c=8.9747 alpha=90.00 beta=96.71 gamma=90.00
Space group P2_1/m (No. 11)
Unique sites:
Cs 0.2180 0.2500 0.0559
Np 0.1788 0.7500 0.4529
Zn 0.3481 0.2500 0.6529
S 0.1036 0.5058 0.6819
S 0.3380 0.7500 0.1958
S 0.4470 0.2500 0.4143

---

No. 17
Here is crystalline Cs3Np2ZnS6 at its relaxed geometry from Alexandria via LeMat-Bulk. Energies are from PBE-GGA.

Output
Raw formation energy: -1.145 eV per atom

Unit cell a=6.9097 b=12.6870 c=8.2887 alpha=90.00 beta=105.55 gamma=90.00
Space group C2/m (No. 12)
Unique sites:
Cs 0.0000 0.0000 0.0000
Cs 0.0000 0.3434 0.0000
Np 0.0000 0.1688 0.5000
Zn 0.0000 0.5000 0.5000
S 0.2384 0.3204 0.6897
S 0.2472 0.5000 0.3475

---

No. 18
Here is crystalline Cs4Np3ZnS8 at its relaxed geometry from Alexandria via LeMat-Bulk. Energies are from PBE-GGA.

Output
Raw formation energy: -1.191 eV per atom

Unit cell a=8.1972 b=8.1972 c=24.0030 alpha=90.00 beta=90.00 gamma=120.00
Space group R-3m (No. 166, hexagonal axes)
Unique sites:
Cs 0.0000 0.0000 0.0000
Cs 0.0000 0.5000 0.0000
Np 0.0000 0.5000 0.5000
Zn 0.0000 0.0000 0.5000
S 0.0000 0.0000 0.2268
S 0.0048 0.5024 0.2251

---

No. 19
Here is crystalline Cs2ZrNp2S6 at its relaxed geometry from Alexandria via LeMat-Bulk. Energies are from PBE-GGA.

Output
Raw formation energy: -1.448 eV per atom

Unit cell a=6.8729 b=11.8423 c=8.5713 alpha=90.00 beta=105.43 gamma=90.00
Space group C2/m (No. 12)
Unique sites:
Cs 0.0000 0.1673 0.0000
Zr 0.0000 0.0000 0.5000
Np 0.0000 0.3337 0.5000
S 0.2191 0.1602 0.6762
S 0.2396 0.5000 0.6761

---

No. 20
Here is crystalline Cs3ZrNp3S8 at its relaxed geometry from Alexandria via LeMat-Bulk. Energies are from PBE-GGA.

Output
Raw formation energy: -1.424 eV per atom

Unit cell a=8.0285 b=8.0285 c=24.6198 alpha=90.00 beta=90.00 gamma=120.00
Space group R-3m (No. 166, hexagonal axes)
Unique sites:
Cs 0.0000 0.5000 0.0000
Zr 0.0000 0.0000 0.5000
Np 0.0000 0.5000 0.5000
S 0.0000 0.0000 0.2266
S 0.0142 0.5071 0.2250

---

DOS(E_F)? In order: 8.2; 28.8; 15.3; 19.9; 17.3; 35.5; 40.5; 41.5; 31.1; 19.4; 8.1; 11.1; 29.0; 37.2; 5.5; 9.2; 35.3; 85.2; 43.8; 83.8 states/eV per cell.